i:
Below is a geometry-optimized MgZr2Cl structure, with properties calculated at the PBE level.

The structure in extended XYZ format:
```
8
Lattice="4.152 0.000 0.000 0.000 4.152 0.000 0.000 0.000 10.494" Properties=species:S:1:pos:R:3 pbc="T T T"
Mg 0.000 0.000 0.000
Mg 2.076 2.076 5.247
Zr 0.000 2.076 2.623
Zr 0.000 2.076 7.870
Zr 2.076 0.000 2.623
Zr 2.076 0.000 7.870
Cl 0.000 0.000 5.247
Cl 2.076 2.076 0.000
```

Properties
space group = I4/mmm

=====

ii:
Below is a geometry-optimized MgZr2Cl structure, with properties calculated at the PBE level.

The structure in extended XYZ format:
```
8
Lattice="3.204 0.000 0.000 0.000 5.409 0.000 0.000 0.000 9.965" Properties=species:S:1:pos:R:3 pbc="T T T"
Mg 0.000 0.000 0.000
Mg 1.602 2.705 0.000
Zr 0.000 2.705 2.718
Zr 0.000 2.705 7.247
Zr 1.602 0.000 2.718
Zr 1.602 0.000 7.247
Cl 0.000 0.000 4.982
Cl 1.602 2.705 4.982
```

Properties
space group = Cmmm

=====

ii takes first place; second place is 384 meV/atom up.

=====

i:
Below is a geometry-optimized Ba2CaY structure, with properties calculated at the PBE level.

The structure in extended XYZ format:
```
8
Lattice="4.547 0.000 0.000 0.000 6.362 0.000 0.000 0.000 12.881" Properties=species:S:1:pos:R:3 pbc="T T T"
Ba 0.000 0.000 3.082
Ba 0.000 0.000 9.799
Ba 2.273 3.181 3.082
Ba 2.273 3.181 9.799
Ca 0.000 3.181 6.441
Ca 2.273 0.000 6.441
Y 0.000 3.181 0.000
Y 2.273 0.000 0.000
```

Properties
space group = Cmmm

=====

ii:
Below is a geometry-optimized Ba2CaY structure, with properties calculated at the PBE level.

The structure in extended XYZ format:
```
16
Lattice="9.121 0.000 0.000 0.000 9.121 0.000 0.000 0.000 9.121" Properties=species:S:1:pos:R:3 pbc="T T T"
Ba 2.280 2.280 2.280
Ba 2.280 2.280 6.841
Ba 2.280 6.841 2.280
Ba 2.280 6.841 6.841
Ba 6.841 2.280 2.280
Ba 6.841 2.280 6.841
Ba 6.841 6.841 2.280
Ba 6.841 6.841 6.841
Ca 0.000 0.000 0.000
Ca 0.000 4.560 4.560
Ca 4.560 0.000 4.560
Ca 4.560 4.560 0.000
Y 0.000 0.000 4.560
Y 0.000 4.560 0.000
Y 4.560 0.000 0.000
Y 4.560 4.560 4.560
```

Properties
space group = Fm-3m

=====

i takes first place; second place is 28 meV/atom up.